(1)
This record from the Alexandria database describes a relaxed Er12ZrSc7 crystal. The functional is PBE.

* electronic total energy: -5.239 eV per atom
* energy relative to the elements: 13.7 kJ per mole of atoms

Cell: 9.1667 9.1667 9.1667 Å, 110.61 110.61 110.61°
Each line ends with the local moment (μB).
Element x y z (fractional)
Sc  0.3353  0.2151  0.0482  0.13
Sc  0.7849  0.9518  0.6647  0.13
Sc  0.0482  0.3353  0.2151  0.13
Sc  0.9518  0.6647  0.7849  0.13
Sc  0.2151  0.0482  0.3353  0.13
Sc  0.5000  0.5000  0.5000  -0.04
Sc  0.6647  0.7849  0.9518  0.13
Er  0.6563  0.2313  0.5963  -0.02
Er  0.5963  0.6563  0.2313  -0.02
Er  0.2313  0.5963  0.6563  -0.02
Er  0.3437  0.7687  0.4037  -0.02
Er  0.7687  0.4037  0.3437  -0.02
Er  0.0871  0.8805  0.5844  0.00
Er  0.9129  0.1195  0.4156  0.00
Er  0.5844  0.0871  0.8805  0.00
Er  0.1195  0.4156  0.9129  0.00
Er  0.8805  0.5844  0.0871  0.00
Er  0.4037  0.3437  0.7687  -0.02
Er  0.4156  0.9129  0.1195  0.00
Zr  0.0000  0.0000  0.0000  0.82



(2)
This record from the Alexandria database describes a relaxed AlRu2Rh crystal. The functional is PBE.

* electronic total energy: -7.654 eV per atom
* energy relative to the elements: -23.4 kJ per mole of atoms

Cell: 4.7433 4.7433 4.7433 Å, 133.01 133.01 68.64°
Element x y z (fractional)
Ru  0.5000  0.5000  0.0000
Ru  0.0000  0.0000  0.0000
Rh  0.7500  0.2500  0.5000
Al  0.2500  0.7500  0.5000



(3)
This record from the Alexandria database describes a relaxed YPuCoAg crystal. The functional is PBE.

* electronic total energy: -7.642 eV per atom
* energy relative to the elements: 4.5 kJ per mole of atoms

Cell: 4.9721 4.9721 4.9721 Å, 60.00 60.00 60.00°
Each line ends with the local moment (μB).
Element x y z (fractional)
Co  0.5000  0.5000  0.5000  -1.09
Y  0.7500  0.7500  0.7500  0.20
Pu  0.2500  0.2500  0.2500  5.37
Ag  0.0000  0.0000  0.0000  0.06



(4)
This record from the Alexandria database describes a relaxed KCuCl2 crystal. The functional is PBE.

* electronic total energy: -2.989 eV per atom
* excess energy over the best structure of this formula in the dataset: 435 meV per atom
* uncorrected formation energy: -0.77 eV/atom

Cell: 7.1468 5.2926 3.7297 Å, 75.31 81.59 128.58°
Element x y z (fractional)
Cl  0.0000  0.0000  0.0000
Cl  0.5000  0.0000  0.5000
Cu  0.0000  0.5000  0.5000
K  0.5000  0.5000  0.0000



(5)
This record from the Alexandria database describes a relaxed ZnP2W crystal. The functional is PBE.

* electronic total energy: -6.128 eV per atom
* energy relative to the elements: 12.9 kJ per mole of atoms

Cell: 4.3898 4.3898 4.8722 Å, 85.47 85.47 41.22°
Element x y z (fractional)
Zn  0.2500  0.2500  0.2500
P  0.4698  0.4698  0.5568
P  0.0302  0.0302  0.9432
W  0.7500  0.7500  0.7500



(6)
This record from the Alexandria database describes a relaxed CaCuMo crystal. The functional is PBE.

* electronic total energy: -4.044 eV per atom
* energy relative to the elements: 154.3 kJ per mole of atoms
* excess energy over the best structure of this formula in the dataset: 1065 meV per atom

Cell: 4.7096 4.7096 4.7096 Å, 60.00 60.00 60.00°
Each line ends with the local moment (μB).
Element x y z (fractional)
Mo  0.5000  0.5000  0.5000  3.08
Ca  0.7500  0.7500  0.7500  0.13
Cu  0.0000  0.0000  0.0000  0.06



(7)
This record from the Alexandria database describes a relaxed BeAl2Sb crystal. The functional is PBE.

* electronic total energy: -3.577 eV per atom
* excess energy over the best structure of this formula in the dataset: 2 meV per atom
* uncorrected formation energy: 0.26 eV/atom

Cell: 3.6693 2.9753 6.7704 Å, 89.86 90.00 90.00°
Element x y z (fractional)
Al  0.5000  0.2496  0.2924
Al  0.0000  0.7510  0.0639
Be  0.0000  0.7492  0.4390
Sb  0.5000  0.7502  0.7046



(8)
This record from the Alexandria database describes a relaxed CsKSeS2 crystal. The functional is PBE.

* electronic total energy: -3.300 eV per atom
* uncorrected formation energy: -0.56 eV/atom

Cell: 5.4846 8.1400 8.9794 Å, 103.84 90.00 90.00°
Each line ends with the local moment (μB).
Element x y z (fractional)
Se  0.0000  0.0000  0.5000  0.49
Se  0.0000  0.0000  0.0000  0.49
S  0.7451  0.7551  0.9611  0.33
S  0.2549  0.2449  0.0389  0.33
S  0.2549  0.7551  0.4611  0.33
S  0.7451  0.2449  0.5389  0.33
Cs  0.7734  0.5000  0.2500  0.01
Cs  0.2266  0.5000  0.7500  0.01
K  0.5258  0.0000  0.7500  0.01
K  0.4742  0.0000  0.2500  0.01